Record 1
Material: MoS2Br2
Method: DFT, PBE-GGA
State: optimized geometry

Unit cell a=7.0906 b=11.1561 c=7.8614 alpha=90.00 beta=114.80 gamma=90.00
Last column: nearest neighbours and their distance in Å.
Space group C2/m (No. 12)
Inequivalent atoms, fractional coordinates:
Mo (0.0000, 0.1255, 0.0000)  4 S 2.42-2.43, 2 Br 2.63
S (0.1190, 0.0000, 0.2787)  1 S 2.03
S (0.1941, 0.5000, 0.8590)  1 S 2.03
Br (0.2433, 0.2961, 0.2073)  1 Mo 2.63

Total DFT energy (no corrections) = -97.957 eV/cell
Size of the total moment = 4.15 μB/cell
E_form (uncorrected) = -411 meV/atom

***

Record 2
Material: Ho2CdIr
Method: DFT, PBE-GGA
State: optimized geometry

Unit cell a=3.5070 b=3.5070 c=7.4678 alpha=90.00 beta=90.00 gamma=90.00
Last column: nearest neighbours and their distance in Å.
Space group P4/mmm (No. 123)
Inequivalent atoms, fractional coordinates:
Ho (0.0000, 0.0000, 0.2160)  4 Ir 2.96, 1 Ho 3.23, 4 Cd 3.26
Cd (0.5000, 0.5000, 0.5000)  8 Ho 3.26, 4 Cd 3.51
Ir (0.5000, 0.5000, 0.0000)  8 Ho 2.96

E_form = -0.638 eV per atom
Total DFT energy (no corrections) = -21.482 eV/cell
Size of the total moment = 0.00 μB/cell
Energy above the most stable polymorph in this dataset = 0 meV per atom

***

Record 3
Material: CdIn2Sb
Method: DFT, PBE-GGA
State: optimized geometry

Unit cell a=4.4913 b=4.5599 c=5.2472 alpha=90.00 beta=90.00 gamma=90.00
Last column: nearest neighbours and their distance in Å.
Space group Pmmm (No. 47)
Inequivalent atoms, fractional coordinates:
Cd (0.0000, 0.0000, 0.0000)  4 Sb 3.20, 8 In 3.45-3.48
In (0.0000, 0.5000, 0.5000)  4 In 3.20, 4 Sb 3.45, 4 Cd 3.48
In (0.5000, 0.0000, 0.5000)  4 In 3.20, 4 Cd 3.45, 4 Sb 3.48
Sb (0.5000, 0.5000, 0.0000)  4 Cd 3.20, 8 In 3.45-3.48

Total DFT energy (no corrections) = -10.308 eV/cell
Size of the total moment = 0.00 μB/cell
E_form (uncorrected) = 51 meV/atom
Energy above the most stable polymorph in this dataset = 14 meV per atom